The following is a GGA-PBE calculation of a geometry-optimized BeInW2 structure, from the Alexandria database.

Results
space group = Cmm2, No. 35
energy of formation from the pure elements = 0.450 eV per atom

Lattice parameters (Å, degrees): 2.832 2.832 8.474 90.00 90.00 109.69
Positions (direct):
Be1 0.000 0.000 0.000
In1 0.500 0.500 0.752
W1 0.000 0.000 0.464
W2 0.500 0.500 0.211


The following is a GGA-PBE calculation of a geometry-optimized EuCuAg structure, from the Alexandria database.

Results
space group = F-43m, No. 216
energy of formation from the pure elements = -0.030 eV per atom

Lattice parameters (Å, degrees): 4.732 4.732 4.732 60.00 60.00 60.00
Positions (direct):
Eu1 0.000 0.000 0.000
Cu1 0.250 0.250 0.250
Ag1 0.500 0.500 0.500


The following is a GGA-PBE calculation of a geometry-optimized CeNd3Sn2 structure, from the Alexandria database.

Results
space group = Ibam, No. 72
energy of formation from the pure elements = -0.559 eV per atom

Lattice parameters (Å, degrees): 9.983 9.983 9.983 141.83 54.99 141.95
Positions (direct):
Ce1 0.250 0.250 0.000
Ce2 0.750 0.750 0.000
Nd1 0.177 0.250 0.427
Nd2 0.250 0.750 0.500
Nd3 0.323 0.750 0.074
Nd4 0.677 0.250 0.926
Nd5 0.750 0.250 0.500
Nd6 0.823 0.750 0.573
Sn1 0.138 0.752 0.890
Sn2 0.362 0.252 0.614
Sn3 0.638 0.748 0.386
Sn4 0.862 0.248 0.110


The following is a GGA-PBE calculation of a geometry-optimized BeRe2Se structure, from the Alexandria database.

Results
space group = Pm, No. 6
formation energy without anion corrections = 0.33 eV/atom

Lattice parameters (Å, degrees): 2.949 4.243 4.473 90.00 90.01 90.00
Positions (direct):
Be1 0.000 0.000 0.000
Re1 0.003 0.500 0.276
Re2 0.504 0.000 0.491
Se1 0.503 0.500 0.831


The following is a GGA-PBE calculation of a geometry-optimized Rb5MnTe5 structure, from the Alexandria database.

Results
space group = C2/m, No. 12
formation energy without anion corrections = -0.58 eV/atom

Lattice parameters (Å, degrees): 8.935 8.935 9.604 108.64 108.64 46.80
Positions (direct):
Rb1 0.000 0.000 0.000
Rb2 0.301 0.301 0.198
Rb3 0.338 0.338 0.666
Rb4 0.662 0.662 0.334
Rb5 0.699 0.699 0.802
Mn1 0.000 0.000 0.500
Te1 0.123 0.123 0.379
Te2 0.131 0.131 0.767
Te3 0.500 0.500 0.500
Te4 0.869 0.869 0.233
Te5 0.877 0.877 0.621


The following is a GGA-PBE calculation of a geometry-optimized Mo2RhAu structure, from the Alexandria database.

Results
space group = R3m, No. 160
energy of formation from the pure elements = 0.146 eV per atom

Lattice parameters (Å, degrees): 9.511 9.511 9.511 17.00 17.00 17.00
Positions (direct):
Mo1 0.000 0.000 0.000
Mo2 0.247 0.247 0.247
Rh1 0.506 0.506 0.506
Au1 0.752 0.752 0.752


The following is a GGA-PBE calculation of a geometry-optimized Cs2RbI2 structure, from the Alexandria database.

Results
space group = Ibam, No. 72
formation energy without anion corrections = -1.13 eV/atom

Lattice parameters (Å, degrees): 10.069 10.069 10.069 108.64 89.87 133.05
Positions (direct):
Cs1 0.149 0.145 0.294
Cs2 0.351 0.645 0.996
Cs3 0.649 0.355 0.004
Cs4 0.851 0.855 0.706
Rb1 0.250 0.750 0.500
Rb2 0.750 0.250 0.500
I1 0.121 0.816 0.937
I2 0.379 0.316 0.695
I3 0.621 0.684 0.305
I4 0.879 0.184 0.063


The following is a GGA-PBE calculation of a geometry-optimized Tb5Ho5Th structure, from the Alexandria database.

Results
space group = P-6m2, No. 187
energy of formation from the pure elements = 0.358 eV per atom

Lattice parameters (Å, degrees): 6.049 6.049 11.462 90.00 90.00 120.00
Positions (direct):
Tb1 0.000 0.000 0.237
Tb2 0.000 0.000 0.763
Tb3 0.336 0.168 0.000
Tb4 0.832 0.168 0.000
Tb5 0.832 0.664 0.000
Ho1 0.000 0.000 0.500
Ho2 0.333 0.667 0.174
Ho3 0.333 0.667 0.826
Ho4 0.667 0.333 0.347
Ho5 0.667 0.333 0.653
Th1 0.333 0.667 0.500


The following is a GGA-PBE calculation of a geometry-optimized ErTlPd3 structure, from the Alexandria database.

Results
space group = P2_1/m, No. 11
energy of formation from the pure elements = -0.639 eV per atom

Lattice parameters (Å, degrees): 4.634 5.729 7.630 90.00 90.07 90.00
Positions (direct):
Er1 0.250 0.250 0.126
Er2 0.750 0.750 0.874
Tl1 0.250 0.750 0.453
Tl2 0.750 0.250 0.547
Pd1 0.249 0.009 0.763
Pd2 0.249 0.491 0.763
Pd3 0.250 0.750 0.095
Pd4 0.750 0.250 0.905
Pd5 0.751 0.509 0.237
Pd6 0.751 0.991 0.237


The following is a GGA-PBE calculation of a geometry-optimized CaZrTe structure, from the Alexandria database.

Results
space group = F-43m, No. 216
formation energy without anion corrections = -0.23 eV/atom

Lattice parameters (Å, degrees): 4.968 4.968 4.968 60.00 60.00 60.00
Positions (direct):
Ca1 0.000 0.000 0.000
Zr1 0.500 0.500 0.500
Te1 0.250 0.250 0.250


Number 1: DOS(E_F) 0.476 states/eV/atom, theoretical density 12751 kg/m³. Number 2: DOS(E_F) 3.332 states/eV/atom, theoretical density 7168 kg/m³. Number 3: DOS(E_F) 1.615 states/eV/atom, theoretical density 7153 kg/m³. Number 4: DOS(E_F) 0.429 states/eV/atom, theoretical density 13662 kg/m³. Number 5: DOS(E_F) 0.687 states/eV/atom, theoretical density 3551 kg/m³. Number 6: DOS(E_F) 0.766 states/eV/atom, theoretical density 12723 kg/m³. Number 7: DOS(E_F) 0.167 states/eV/atom, theoretical density 2992 kg/m³. Number 8: DOS(E_F) 1.624 states/eV/atom, theoretical density 8463 kg/m³. Number 9: DOS(E_F) 0.355 states/eV/atom, theoretical density 11328 kg/m³. Number 10: DOS(E_F) 0.687 states/eV/atom, theoretical density 4958 kg/m³.